1.
This record from Alexandria describes a relaxed Zr2TlAg crystal. The functional is PBE-GGA.

Output
- Symmetry: I-4m2 (119)
- Uncorrected energy: -0.408 Ry/atom
- Calculated density: 9.5 g/cm³

a b c (Å): 5.656 5.656 5.656
angles (deg): 135.74 135.74 64.38
Element x y z (fractional)
Ag 0.500 0.500 0.000
Tl 0.750 0.250 0.500
Zr 0.000 0.000 0.000
Zr 0.250 0.750 0.500

2.
This record from Alexandria describes a relaxed ZrTlAg2 crystal. The functional is PBE-GGA.

Output
- Symmetry: C2/m (12)
- Uncorrected energy: -0.301 Ry/atom
- Calculated density: 10.1 g/cm³

a b c (Å): 5.207 5.207 5.538
angles (deg): 83.47 83.47 34.30
Element x y z (fractional)
Ag 0.997 0.997 0.017
Ag 0.503 0.503 0.483
Tl 0.750 0.750 0.750
Zr 0.250 0.250 0.250

3.
This record from Alexandria describes a relaxed ZrTlAg crystal. The functional is PBE-GGA.

Output
- Symmetry: Pnma (62)
- Uncorrected energy: -0.337 Ry/atom
- Calculated density: 10.4 g/cm³

a b c (Å): 6.494 4.363 9.087
angles (deg): 90.00 90.00 90.00
Element x y z (fractional)
Tl 0.898 0.250 0.746
Tl 0.602 0.750 0.246
Tl 0.102 0.750 0.254
Tl 0.398 0.250 0.754
Zr 0.360 0.250 0.414
Zr 0.140 0.750 0.914
Zr 0.640 0.750 0.586
Zr 0.860 0.250 0.086
Ag 0.867 0.250 0.422
Ag 0.633 0.750 0.922
Ag 0.133 0.750 0.578
Ag 0.367 0.250 0.078

4.
This record from Alexandria describes a relaxed ZrTl2Ag2 crystal. The functional is PBE-GGA.

Output
- Symmetry: P4/mbm (127)
- E above lowest polymorph: 0 kJ/mol of formula units
- Calculated density: 10.7 g/cm³

a b c (Å): 8.142 8.142 3.358
angles (deg): 90.00 90.00 90.00
Element x y z (fractional)
Tl 0.180 0.680 0.500
Tl 0.680 0.820 0.500
Tl 0.820 0.320 0.500
Tl 0.320 0.180 0.500
Zr 0.000 0.000 0.000
Zr 0.500 0.500 0.000
Ag 0.379 0.879 0.000
Ag 0.879 0.621 0.000
Ag 0.621 0.121 0.000
Ag 0.121 0.379 0.000

5.
This record from Alexandria describes a relaxed Zr2TlAg crystal. The functional is PBE-GGA.

Output
- Symmetry: R3m (160)
- Uncorrected energy: -0.383 Ry/atom
- Calculated density: 8.2 g/cm³

a b c (Å): 4.530 4.530 6.187
angles (deg): 68.53 68.53 60.00
Element x y z (fractional)
Zr 0.071 0.071 0.786
Zr 0.266 0.266 0.202
Tl 0.492 0.492 0.525
Ag 0.671 0.671 0.987

6.
This record from Alexandria describes a relaxed Tm3Ag crystal. The functional is PBE-GGA.

Output
- Symmetry: Pm-3m (221)
- E above lowest polymorph: 52 kJ/mol of formula units
- Calculated density: 9.7 g/cm³

a b c (Å): 4.714 4.714 4.714
angles (deg): 90.00 90.00 90.00
Element x y z (fractional)
Tm 0.000 0.500 0.500
Tm 0.500 0.000 0.500
Tm 0.500 0.500 0.000
Ag 0.000 0.000 0.000

7.
This record from Alexandria describes a relaxed Tm2Ag5 crystal. The functional is PBE-GGA.

Output
- Symmetry: C2/m (12)
- Uncorrected energy: -0.262 Ry/atom
- Calculated density: 10.2 g/cm³

a b c (Å): 3.995 5.290 7.344
angles (deg): 94.68 90.00 112.19
Element x y z (fractional)
Tm 0.081 0.162 0.224
Tm 0.919 0.838 0.776
Ag 0.359 0.718 0.070
Ag 0.641 0.282 0.930
Ag 0.204 0.408 0.635
Ag 0.500 0.000 0.500
Ag 0.796 0.592 0.365

8.
This record from Alexandria describes a relaxed TmAg3 crystal. The functional is PBE-GGA.

Output
- Symmetry: Fm-3m (225)
- Uncorrected energy: -0.255 Ry/atom
- Calculated density: 10.1 g/cm³

a b c (Å): 4.855 4.855 4.855
angles (deg): 60.00 60.00 60.00
Element x y z (fractional)
Tm 0.500 0.500 0.500
Ag 0.000 0.000 0.000
Ag 0.750 0.750 0.750
Ag 0.250 0.250 0.250

9.
This record from Alexandria describes a relaxed Tm3Ag crystal. The functional is PBE-GGA.

Output
- Symmetry: Pmm2 (25)
- E above lowest polymorph: 81 kJ/mol of formula units
- Calculated density: 8.8 g/cm³

a b c (Å): 3.568 3.435 9.415
angles (deg): 90.00 90.00 90.00
Element x y z (fractional)
Tm 0.000 0.500 0.470
Tm 0.500 0.500 0.156
Tm 0.500 0.000 0.725
Ag 0.000 0.000 0.983

10.
This record from Alexandria describes a relaxed Tm3Ag crystal. The functional is PBE-GGA.

Output
- Symmetry: I-4 (82)
- E above lowest polymorph: 21 kJ/mol of formula units
- Calculated density: 9.3 g/cm³

a b c (Å): 6.073 9.026 9.026
angles (deg): 83.50 70.34 70.34
Last column: magnetic moment on the atom in μB.
Element x y z (fractional)
Tm 0.365 0.997 0.809  0.14
Tm 0.171 0.003 0.191  0.14
Tm 0.826 0.809 0.003  0.14
Tm 0.638 0.191 0.997  0.14
Tm 0.505 0.353 0.642  0.07
Tm 0.500 0.647 0.358  0.07
Tm 0.854 0.642 0.647  0.07
Tm 0.142 0.358 0.353  0.07
Tm 0.972 0.996 0.594  0.18
Tm 0.561 0.004 0.406  0.18
Tm 0.434 0.594 0.004  0.18
Tm 0.033 0.406 0.996  0.18
Ag 0.006 0.288 0.705  0.01
Ag 0.998 0.712 0.295  0.01
Ag 0.289 0.705 0.712  0.01
Ag 0.707 0.295 0.288  0.01

11.
This record from Alexandria describes a relaxed TmAg2 crystal. The functional is PBE-GGA.

Output
- Symmetry: Fd-3m (227)
- Uncorrected energy: -0.262 Ry/atom
- Calculated density: 9.9 g/cm³

a b c (Å): 5.664 5.664 5.664
angles (deg): 60.00 60.00 60.00
Element x y z (fractional)
Tm 0.000 0.000 0.000
Tm 0.250 0.250 0.250
Ag 0.125 0.625 0.625
Ag 0.625 0.125 0.625
Ag 0.625 0.625 0.625
Ag 0.625 0.625 0.125

12.
This record from Alexandria describes a relaxed Tm3Ag crystal. The functional is PBE-GGA.

Output
- Symmetry: Fm-3m (225)
- E above lowest polymorph: 68 kJ/mol of formula units
- Calculated density: 9.7 g/cm³

a b c (Å): 5.297 5.297 5.297
angles (deg): 60.00 60.00 60.00
Element x y z (fractional)
Tm 0.000 0.000 0.000
Tm 0.750 0.750 0.750
Tm 0.250 0.250 0.250
Ag 0.500 0.500 0.500